(1)
A geometry-optimized Tb3AlHg2 structure. Source: Alexandria via LeMat-Bulk, functional PBE.

Cell lengths 3.721, 5.217, 15.711 Å; angles 90.00, 90.00, 90.00 degrees
Sites, in units of the cell vectors:
Hg1 0.999 0.000 0.663
Hg2 0.001 0.500 0.837
Al1 0.998 0.500 0.500
Tb1 0.501 0.000 0.164
Al2 0.002 0.000 0.000
Tb2 0.498 0.000 0.500
Tb3 0.499 0.500 0.336
Hg3 0.999 0.000 0.337
Tb4 0.502 0.500 0.000
Tb5 0.499 0.500 0.664
Tb6 0.501 0.000 0.836
Hg4 0.001 0.500 0.163

## Properties
**Energy relative to the elements**: -0.44 eV per atom
**Magnetic moment**: 0.0000 μB/atom
**Distance to the lowest polymorph of the same formula**: 3 meV per atom

***

(2)
A geometry-optimized AlCuBr2 structure. Source: Alexandria via LeMat-Bulk, functional PBE.

Cell lengths 5.067, 5.067, 5.067 Å; angles 60.00, 60.00, 60.00 degrees
Sites, in units of the cell vectors:
Br1 0.750 0.750 0.750
Br2 0.000 0.000 0.000
Al1 0.500 0.500 0.500
Cu1 0.250 0.250 0.250

## Properties
**Magnetic moment**: 0.0000 μB/atom
**Distance to the lowest polymorph of the same formula**: 774 meV per atom

***

(3)
A geometry-optimized CaY3Ir structure. Source: Alexandria via LeMat-Bulk, functional PBE.

Cell lengths 6.389, 8.740, 7.374 Å; angles 90.00, 47.97, 90.00 degrees
Sites, in units of the cell vectors:
Y1 0.556 0.750 0.663
Ca1 0.620 0.250 0.720
Ir1 0.968 0.750 0.071
Y2 0.063 0.026 0.187
Y3 0.937 0.974 0.813
Y4 0.063 0.474 0.187
Ca2 0.380 0.750 0.280
Y5 0.444 0.250 0.337
Ir2 0.032 0.250 0.929
Y6 0.937 0.526 0.813

## Properties
**Energy relative to the elements**: -0.32 eV per atom
**Magnetic moment**: 0.0000 μB/atom
**Distance to the lowest polymorph of the same formula**: 88 meV per atom

***

(4)
A geometry-optimized V2SiSn structure. Source: Alexandria via LeMat-Bulk, functional PBE.

Cell lengths 4.430, 4.430, 4.430 Å; angles 60.00, 60.00, 60.00 degrees
Sites, in units of the cell vectors:
Sn1 0.500 0.500 0.500
V1 0.750 0.750 0.750
V2 0.250 0.250 0.250
Si1 0.000 0.000 0.000

## Properties
**Magnetic moment**: 0.0002 μB/atom
**Distance to the lowest polymorph of the same formula**: 143 meV per atom

***

(5)
A geometry-optimized Dy2PuTe structure. Source: Alexandria via LeMat-Bulk, functional PBE.

Cell lengths 3.816, 3.816, 10.071 Å; angles 79.08, 79.08, 60.00 degrees
Last column: magnetic moment on the atom in μB.
Sites, in units of the cell vectors:
Pu1 0.500 0.500 0.501  5.67
Te1 0.667 0.667 0.999  0.02
Dy1 0.073 0.073 0.781  0.29
Dy2 0.260 0.260 0.219  0.18

## Properties
**Magnetic moment**: 1.7400 μB/atom
**Distance to the lowest polymorph of the same formula**: 60 meV per atom

***

(6)
A geometry-optimized Ce2ThRuN4 structure. Source: Alexandria via LeMat-Bulk, functional PBE.

Cell lengths 3.427, 6.202, 11.798 Å; angles 90.00, 90.00, 106.04 degrees
Sites, in units of the cell vectors:
N1 0.000 0.000 0.500
N2 0.280 0.560 0.372
N3 0.543 0.086 0.250
Ce1 0.369 0.739 0.945
N4 0.720 0.440 0.872
N5 0.000 0.000 0.000
Th1 0.109 0.219 0.750
N6 0.720 0.440 0.628
Ru1 0.849 0.699 0.750
Th2 0.891 0.781 0.250
Ce2 0.369 0.739 0.555
Ce3 0.631 0.261 0.445
Ce4 0.631 0.261 0.055
Ru2 0.151 0.301 0.250
N7 0.457 0.914 0.750
N8 0.280 0.560 0.128

## Properties
**Magnetic moment**: 0.0002 μB/atom
**Total energy**: -142.01 eV per cell

***

(7)
A geometry-optimized HgBiSe2Cl structure. Source: Alexandria via LeMat-Bulk, functional PBE.

Cell lengths 4.388, 7.855, 10.499 Å; angles 102.78, 90.00, 90.00 degrees
Sites, in units of the cell vectors:
Cl1 0.250 0.895 0.094
Se1 0.250 0.469 0.850
Hg1 0.250 0.553 0.603
Hg2 0.750 0.447 0.397
Se2 0.250 0.255 0.369
Se3 0.750 0.745 0.631
Bi1 0.250 0.290 0.062
Se4 0.750 0.531 0.150
Bi2 0.750 0.710 0.938
Cl2 0.750 0.105 0.906

## Properties
**Magnetic moment**: 0.0000 μB/atom
**Total energy**: -29.62 eV per cell

***

(8)
A geometry-optimized LuAgSbPd structure. Source: Alexandria via LeMat-Bulk, functional PBE.

Cell lengths 4.860, 4.860, 4.860 Å; angles 60.00, 60.00, 60.00 degrees
Sites, in units of the cell vectors:
Lu1 0.500 0.500 0.500
Sb1 0.000 0.000 0.000
Pd1 0.750 0.750 0.750
Ag1 0.250 0.250 0.250

## Properties
**Magnetic moment**: 0.0000 μB/atom
**Total energy**: -18.81 eV per cell

***

(9)
A geometry-optimized Nd2Dy2Tm5 structure. Source: Alexandria via LeMat-Bulk, functional PBE.

Cell lengths 11.689, 6.707, 10.039 Å; angles 109.52, 125.60, 90.00 degrees
Sites, in units of the cell vectors:
Tm1 0.999 0.660 0.500
Nd1 0.879 0.431 0.746
Nd2 0.121 0.685 0.254
Nd3 0.634 0.185 0.254
Tm2 0.813 0.262 0.107
Tm3 0.001 0.160 0.500
Tm4 0.794 0.762 0.107
Dy1 0.736 0.860 0.500
Dy2 0.500 0.504 0.000
Tm5 0.621 0.746 0.715
Tm6 0.206 0.655 0.893
Tm7 0.379 0.031 0.285
Tm8 0.594 0.246 0.715
Dy3 0.000 0.004 0.000
Tm9 0.406 0.531 0.285
Nd4 0.366 0.931 0.746
Tm10 0.187 0.155 0.893
Dy4 0.264 0.360 0.500

## Properties
**Energy relative to the elements**: 0.22 eV per atom
**Magnetic moment**: 0.0000 μB/atom
**Distance to the lowest polymorph of the same formula**: 0 meV per atom

***

(10)
A geometry-optimized NbAgAu6 structure. Source: Alexandria via LeMat-Bulk, functional PBE.

Cell lengths 4.199, 4.199, 8.227 Å; angles 90.00, 90.00, 90.00 degrees
Last column: magnetic moment on the atom in μB.
Sites, in units of the cell vectors:
Au1 0.500 0.000 0.255  0.06
Au2 0.500 0.500 0.500  0.09
Ag1 0.000 0.000 0.000  0.00
Au3 0.000 0.500 0.745  0.06
Au4 0.500 0.000 0.745  0.06
Nb1 0.000 0.000 0.500  1.00
Au5 0.000 0.500 0.255  0.06
Au6 0.500 0.500 0.000  0.04

## Properties
**Energy relative to the elements**: 0.05 eV per atom
**Magnetic moment**: 0.1937 μB/atom

***

(11)
A geometry-optimized KUH2Br8 structure. Source: Alexandria via LeMat-Bulk, functional PBE.

Cell lengths 7.473, 8.166, 9.398 Å; angles 112.14, 90.84, 114.00 degrees
Last column: magnetic moment on the atom in μB.
Sites, in units of the cell vectors:
Br1 0.390 0.265 0.075  -0.04
Br2 0.062 0.778 0.727  -0.04
Br3 0.494 0.732 0.437  0.00
Br4 0.506 0.268 0.563  0.00
Br5 0.910 0.200 0.860  -0.04
Br6 0.090 0.800 0.140  -0.04
H1 0.450 0.554 0.295  0.00
K1 0.000 0.000 0.500  0.00
U1 0.000 0.000 0.000  1.23
Br7 0.610 0.735 0.925  -0.04
Br8 0.938 0.222 0.273  -0.04
H2 0.550 0.446 0.705  0.00

## Properties
**Magnetic moment**: 0.0833 μB/atom
**Total energy**: -44.62 eV per cell

***

(12)
A geometry-optimized AlHg2Sb structure. Source: Alexandria via LeMat-Bulk, functional PBE.

Cell lengths 5.994, 5.994, 5.634 Å; angles 66.50, 66.50, 31.25 degrees
Sites, in units of the cell vectors:
Al1 0.250 0.250 0.250
Hg1 0.523 0.523 0.479
Sb1 0.750 0.750 0.750
Hg2 0.977 0.977 0.021

## Properties
**Magnetic moment**: 0.0000 μB/atom
**Distance to the lowest polymorph of the same formula**: 89 meV per atom

***

(13)
A geometry-optimized KPrAg2 structure. Source: Alexandria via LeMat-Bulk, functional PBE.

Cell lengths 3.526, 5.688, 5.688 Å; angles 90.00, 90.00, 90.00 degrees
Sites, in units of the cell vectors:
Pr1 0.500 0.000 0.000
Ag1 0.000 0.500 0.000
K1 0.500 0.500 0.500
Ag2 0.000 0.000 0.500

## Properties
**Energy relative to the elements**: 0.00 eV per atom
**Magnetic moment**: 0.0000 μB/atom
**Distance to the lowest polymorph of the same formula**: 101 meV per atom

***

(14)
A geometry-optimized KCdSb2O structure. Source: Alexandria via LeMat-Bulk, functional PBE.

Cell lengths 4.881, 5.205, 4.881 Å; angles 90.00, 90.00, 90.00 degrees
Sites, in units of the cell vectors:
Cd1 0.000 0.500 0.000
Sb1 0.000 0.000 0.500
K1 0.500 0.500 0.500
Sb2 0.500 0.000 0.000
O1 0.000 0.000 0.000

## Properties
**Magnetic moment**: 0.0000 μB/atom
**Total energy**: -16.01 eV per cell

***

(15)
A geometry-optimized CdPd3Pt2 structure. Source: Alexandria via LeMat-Bulk, functional PBE.

Cell lengths 4.008, 5.654, 8.524 Å; angles 88.22, 90.00, 90.00 degrees
Sites, in units of the cell vectors:
Pt1 0.750 0.128 0.920
Pt2 0.250 0.383 0.420
Pd1 0.250 0.873 0.416
Cd1 0.750 0.129 0.253
Pd2 0.750 0.622 0.917
Pd3 0.750 0.629 0.249
Pd4 0.750 0.127 0.584
Pd5 0.250 0.371 0.751
Pt3 0.750 0.617 0.580
Cd2 0.250 0.871 0.747
Pd6 0.250 0.378 0.083
Pt4 0.250 0.872 0.080

## Properties
**Energy relative to the elements**: -0.15 eV per atom
**Magnetic moment**: 0.0001 μB/atom
**Distance to the lowest polymorph of the same formula**: 0 meV per atom

***

(16)
A geometry-optimized RhBr3 structure. Source: Alexandria via LeMat-Bulk, functional PBE.

Cell lengths 4.601, 4.601, 4.601 Å; angles 90.00, 90.00, 90.00 degrees
Last column: magnetic moment on the atom in μB.
Sites, in units of the cell vectors:
Br1 0.500 0.500 0.000  0.53
Br2 0.000 0.500 0.500  0.53
Rh1 0.000 0.000 0.000  1.85
Br3 0.500 0.000 0.500  0.53

## Properties
**Magnetic moment**: 0.9742 μB/atom
**Total energy**: -8.66 eV per cell

***

(17)
A geometry-optimized PdS5 structure. Source: Alexandria via LeMat-Bulk, functional PBE.

Cell lengths 5.327, 5.483, 13.131 Å; angles 90.00, 90.00, 120.97 degrees
Sites, in units of the cell vectors:
S1 0.433 0.138 0.370
S2 0.348 0.419 0.435
S3 0.567 0.862 0.870
S4 0.652 0.581 0.565
S5 0.652 0.581 0.935
S6 0.778 0.354 0.250
S7 0.348 0.419 0.065
S8 0.433 0.138 0.130
Pd1 0.926 0.179 0.750
S9 0.567 0.862 0.630
Pd2 0.074 0.821 0.250
S10 0.222 0.646 0.750

## Properties
**Magnetic moment**: 0.0000 μB/atom
**Total energy**: -49.65 eV per cell

***

(18)
A geometry-optimized AlAsCl structure. Source: Alexandria via LeMat-Bulk, functional PBE.

Cell lengths 3.951, 6.825, 6.931 Å; angles 81.54, 87.38, 86.62 degrees
Sites, in units of the cell vectors:
As1 0.949 0.165 0.890
Cl1 0.496 0.233 0.394
Al1 0.531 0.929 0.283
As2 0.051 0.835 0.110
Al2 0.469 0.071 0.717
Cl2 0.504 0.767 0.606

## Properties
**Magnetic moment**: 0.0000 μB/atom
**Total energy**: -24.71 eV per cell

***

(19)
A geometry-optimized BeTcN2F structure. Source: Alexandria via LeMat-Bulk, functional PBE.

Cell lengths 3.852, 3.852, 4.102 Å; angles 90.00, 90.00, 90.00 degrees
Last column: magnetic moment on the atom in μB.
Sites, in units of the cell vectors:
Tc1 0.000 0.000 0.000  -0.07
Be1 0.500 0.500 0.500  -0.06
N1 0.000 0.500 0.000  0.08
F1 0.000 0.000 0.500  0.00
N2 0.500 0.000 0.000  0.08

## Properties
**Magnetic moment**: 0.0022 μB/atom
**Distance to the lowest polymorph of the same formula**: 199 meV per atom

***

(20)
A geometry-optimized Ho3Ga3Pd2 structure. Source: Alexandria via LeMat-Bulk, functional PBE.

Cell lengths 4.259, 5.004, 8.410 Å; angles 101.90, 104.64, 89.84 degrees
Sites, in units of the cell vectors:
Ga1 0.364 0.907 0.727
Ho1 0.848 0.401 0.700
Pd1 0.776 0.848 0.549
Ho2 0.152 0.599 0.300
Ho3 0.000 0.000 0.000
Ga2 0.636 0.093 0.273
Ga3 0.500 0.500 0.000
Pd2 0.224 0.152 0.451

## Properties
**Energy relative to the elements**: -0.68 eV per atom
**Magnetic moment**: 0.0000 μB/atom